Computed, not measured: BeCr2FeO6 after structural relaxation at the PBE with a Hubbard U level of DFT.

Output
Calculated volume (Å³ per cell): 95
Space-group type: No. 146
Electronic total energy (eV per atom): -7.047

a b c (Å): 4.8631 4.8603 5.4083
angles (deg): 63.25 63.26 60.01
Last column: magnetic moment on the atom in μB.
Positions (direct):
1 O 0.7577 0.1019 0.7200  -0.13
2 O 0.2240 0.9406 0.2378  -0.07
3 O 0.4203 0.7577 0.7199  -0.13
4 O 0.5976 0.2241 0.2378  -0.07
5 O 0.1021 0.4202 0.7195  -0.13
6 O 0.9406 0.5976 0.2378  -0.07
7 Cr 0.0230 0.0232 0.9306  2.42
8 Cr 0.5100 0.5101 0.4700  2.92
9 Be 0.2597 0.2596 0.2214  0.01
10 Fe 0.8265 0.8266 0.5204  1.17

***

Computed, not measured: BeCrFeO2 after structural relaxation at the PBE with a Hubbard U level of DFT.

Output
Calculated volume (Å³ per cell): 47
Space-group type: No. 123
Electronic total energy (eV per atom): -4.201

a b c (Å): 3.4145 4.0397 3.4145
angles (deg): 90.00 90.00 90.00
Last column: magnetic moment on the atom in μB.
Positions (direct):
1 Be 0.0000 0.0000 0.0000  0.00
2 O 0.5000 0.0000 0.0000  0.02
3 O 0.0000 0.0000 0.5000  0.01
4 Cr 0.5000 0.5000 0.5000  -0.16
5 Fe 0.0000 0.5000 0.0000  0.32